# CeEr8Tm6 PBE-GGA optimized geometry
# - formation enthalpy at 0 K (meV per atom) = 257
# - energy (eV per atom) = -4.36
# - crystal system = trigonal
data_CeEr8Tm6
_space_group_name_H-M_alt 'P -3'
_space_group_IT_number 147
_cell_length_a 9.2944
_cell_length_b 9.2944
_cell_length_c 6.4404
_cell_angle_alpha 90.00
_cell_angle_beta 90.00
_cell_angle_gamma 120.00
loop_
_space_group_symop_operation_xyz
'x,y,z'
'-x,-y,-z'
'-y,x-y,z'
'y,-x+y,-z'
'-x+y,-x,z'
'x-y,x,-z'
loop_
_atom_site_label
_atom_site_type_symbol
_atom_site_fract_x
_atom_site_fract_y
_atom_site_fract_z
Ce1 Ce 0.0000 0.0000 0.0000
Er1 Er 0.0265 0.6867 0.4057
Er2 Er 0.3333 0.6667 0.6769
Tm1 Tm 0.0938 0.4130 0.0902

***

# CeEr7Tm3 PBE-GGA optimized geometry
# - formation enthalpy at 0 K (meV per atom) = 210
# - energy (eV per atom) = -4.45
# - crystal system = trigonal
data_CeEr7Tm3
_space_group_name_H-M_alt 'P 3 m 1'
_space_group_IT_number 156
_cell_length_a 6.9492
_cell_length_b 6.9492
_cell_length_c 8.4908
_cell_angle_alpha 90.00
_cell_angle_beta 90.00
_cell_angle_gamma 120.00
loop_
_space_group_symop_operation_xyz
'x,y,z'
'-y,x-y,z'
'-x+y,-x,z'
'-y,-x,z'
'-x+y,y,z'
'x,x-y,z'
loop_
_atom_site_label
_atom_site_type_symbol
_atom_site_fract_x
_atom_site_fract_y
_atom_site_fract_z
Ce1 Ce 0.0000 0.0000 0.0000
Er1 Er 0.0014 0.5007 0.0000
Er2 Er 0.3287 0.1644 0.6694
Er3 Er 0.3333 0.6667 0.6659
Tm1 Tm 0.1656 0.3312 0.3331

***

# Ce2Er2Tm7 PBE-GGA optimized geometry
# - formation enthalpy at 0 K (meV per atom) = 207
# - energy (eV per atom) = -4.55
# - crystal system = monoclinic
data_Ce2Er2Tm7
_space_group_name_H-M_alt 'C 1 2/m 1'
_space_group_IT_number 12
_cell_length_a 10.9479
_cell_length_b 11.4477
_cell_length_c 5.9015
_cell_angle_alpha 90.00
_cell_angle_beta 112.85
_cell_angle_gamma 90.00
loop_
_space_group_symop_operation_xyz
'x,y,z'
'-x,-y,-z'
'-x,y,-z'
'x,-y,z'
'x+1/2,y+1/2,z'
'-x+1/2,-y+1/2,-z'
'-x+1/2,y+1/2,-z'
'x+1/2,-y+1/2,z'
loop_
_atom_site_label
_atom_site_type_symbol
_atom_site_fract_x
_atom_site_fract_y
_atom_site_fract_z
Ce1 Ce 0.0000 0.2144 0.0000
Er1 Er 0.2316 0.0000 0.0863
Tm1 Tm 0.0000 0.0000 0.5000
Tm2 Tm 0.0940 0.5000 0.3076
Tm3 Tm 0.1723 0.2365 0.6723

***

# Ce2ErTm PBE-GGA optimized geometry
# - formation enthalpy at 0 K (meV per atom) = 82
# - energy (eV per atom) = -5.14
# - crystal system = trigonal
data_Ce2ErTm
_space_group_name_H-M_alt 'R -3 m'
_space_group_IT_number 166
_space_group_name_Hall '-R 3 2"'
_cell_length_a 3.4617
_cell_length_b 3.4617
_cell_length_c 34.1506
_cell_angle_alpha 90.00
_cell_angle_beta 90.00
_cell_angle_gamma 120.00
loop_
_atom_site_label
_atom_site_type_symbol
_atom_site_fract_x
_atom_site_fract_y
_atom_site_fract_z
Ce1 Ce 0.0000 0.0000 0.2502
Er1 Er 0.0000 0.0000 0.5000
Tm1 Tm 0.0000 0.0000 0.0000

***

# CeEr2Tm2 PBE-GGA optimized geometry
# - formation enthalpy at 0 K (meV per atom) = 420
# - energy (eV per atom) = -4.38
# - crystal system = tetragonal
data_CeEr2Tm2
_space_group_name_H-M_alt 'I 4/m m m'
_space_group_IT_number 139
_space_group_name_Hall '-I 4 2'
_cell_length_a 4.4328
_cell_length_b 4.4328
_cell_length_c 16.7293
_cell_angle_alpha 90.00
_cell_angle_beta 90.00
_cell_angle_gamma 90.00
loop_
_atom_site_label
_atom_site_type_symbol
_atom_site_fract_x
_atom_site_fract_y
_atom_site_fract_z
Ce1 Ce 0.0000 0.0000 0.0000
Er1 Er 0.0000 0.5000 0.2500
Tm1 Tm 0.0000 0.0000 0.4050

***

# CeEr2Tm8 PBE-GGA optimized geometry
# - formation enthalpy at 0 K (meV per atom) = 129
# - energy (eV per atom) = -4.49
# - crystal system = orthorhombic
data_CeEr2Tm8
_space_group_name_H-M_alt 'I m m m'
_space_group_IT_number 71
_space_group_name_Hall '-I 2 2'
_cell_length_a 5.3974
_cell_length_b 7.9582
_cell_length_c 15.7493
_cell_angle_alpha 90.00
_cell_angle_beta 90.00
_cell_angle_gamma 90.00
loop_
_atom_site_label
_atom_site_type_symbol
_atom_site_fract_x
_atom_site_fract_y
_atom_site_fract_z
Ce1 Ce 0.0000 0.0000 0.0000
Er1 Er 0.0000 0.0000 0.3004
Tm1 Tm 0.0000 0.2089 0.5000
Tm2 Tm 0.0000 0.2905 0.1395
Tm3 Tm 0.0000 0.5000 0.3373

***

# CeEr5Tm8 PBE-GGA optimized geometry
# - formation enthalpy at 0 K (meV per atom) = 275
# - energy (eV per atom) = -4.33
# - crystal system = tetragonal
data_CeEr5Tm8
_space_group_name_H-M_alt 'I -4'
_space_group_IT_number 82
_cell_length_a 9.3560
_cell_length_b 9.3560
_cell_length_c 10.0574
_cell_angle_alpha 90.00
_cell_angle_beta 90.00
_cell_angle_gamma 90.00
loop_
_space_group_symop_operation_xyz
'x,y,z'
'y,-x,-z'
'-x,-y,z'
'-y,x,-z'
'x+1/2,y+1/2,z+1/2'
'y+1/2,-x+1/2,-z+1/2'
'-x+1/2,-y+1/2,z+1/2'
'-y+1/2,x+1/2,-z+1/2'
loop_
_atom_site_label
_atom_site_type_symbol
_atom_site_fract_x
_atom_site_fract_y
_atom_site_fract_z
Ce1 Ce 0.0000 0.0000 0.0000
Er1 Er 0.0000 0.5000 0.2500
Er2 Er 0.1132 0.2895 0.6740
Tm1 Tm 0.0715 0.1772 0.3480
Tm2 Tm 0.0881 0.3256 0.0013

***

# CeEr5Tm2 PBE-GGA optimized geometry
# - formation enthalpy at 0 K (meV per atom) = 42
# - energy (eV per atom) = -4.67
# - crystal system = orthorhombic
data_CeEr5Tm2
_space_group_name_H-M_alt 'P b a m'
_space_group_IT_number 55
_cell_length_a 7.0081
_cell_length_b 14.0262
_cell_length_c 4.9511
_cell_angle_alpha 90.00
_cell_angle_beta 90.00
_cell_angle_gamma 90.00
loop_
_space_group_symop_operation_xyz
'x,y,z'
'-x,-y,-z'
'-x,-y,z'
'x,y,-z'
'x+1/2,-y+1/2,-z'
'-x+1/2,y+1/2,z'
'-x+1/2,y+1/2,-z'
'x+1/2,-y+1/2,z'
loop_
_atom_site_label
_atom_site_type_symbol
_atom_site_fract_x
_atom_site_fract_y
_atom_site_fract_z
Ce1 Ce 0.0000 0.0000 0.0000
Er1 Er 0.0000 0.5000 0.0000
Er2 Er 0.0010 0.2504 0.0000
Er3 Er 0.2472 0.1242 0.5000
Tm1 Tm 0.2459 0.8758 0.5000

***

# CeEr4Tm10 PBE-GGA optimized geometry
# - formation enthalpy at 0 K (meV per atom) = 487
# - energy (eV per atom) = -4.11
# - crystal system = tetragonal
data_CeEr4Tm10
_space_group_name_H-M_alt 'I 4/m'
_space_group_IT_number 87
_space_group_name_Hall '-I 4'
_cell_length_a 9.6577
_cell_length_b 9.6577
_cell_length_c 10.4402
_cell_angle_alpha 90.00
_cell_angle_beta 90.00
_cell_angle_gamma 90.00
loop_
_atom_site_label
_atom_site_type_symbol
_atom_site_fract_x
_atom_site_fract_y
_atom_site_fract_z
Ce1 Ce 0.0000 0.0000 0.0000
Er1 Er 0.0499 0.2802 0.5000
Tm1 Tm 0.0000 0.5000 0.2500
Tm2 Tm 0.1246 0.2134 0.1678

***

# CeEr4Tm2 PBE-GGA optimized geometry
# - formation enthalpy at 0 K (meV per atom) = 210
# - energy (eV per atom) = -4.52
# - crystal system = orthorhombic
data_CeEr4Tm2
_space_group_name_H-M_alt 'C m m m'
_space_group_IT_number 65
_space_group_name_Hall '-C 2 2'
_cell_length_a 3.5619
_cell_length_b 22.4115
_cell_length_c 5.5454
_cell_angle_alpha 90.00
_cell_angle_beta 90.00
_cell_angle_gamma 90.00
loop_
_atom_site_label
_atom_site_type_symbol
_atom_site_fract_x
_atom_site_fract_y
_atom_site_fract_z
Ce1 Ce 0.0000 0.0000 0.0000
Er1 Er 0.0000 0.1916 0.5000
Er2 Er 0.0000 0.3311 0.0000
Tm1 Tm 0.0000 0.4307 0.5000

***

# CeEr3Tm4 PBE-GGA optimized geometry
# - formation enthalpy at 0 K (meV per atom) = 126
# - energy (eV per atom) = -4.56
# - crystal system = orthorhombic
data_CeEr3Tm4
_space_group_name_H-M_alt 'P m n 21'
_space_group_IT_number 31
_cell_length_a 10.5838
_cell_length_b 8.4364
_cell_length_c 5.4781
_cell_angle_alpha 90.00
_cell_angle_beta 90.00
_cell_angle_gamma 90.00
loop_
_space_group_symop_operation_xyz
'x,y,z'
'-x+1/2,-y,z+1/2'
'-x,y,z'
'x+1/2,-y,z+1/2'
loop_
_atom_site_label
_atom_site_type_symbol
_atom_site_fract_x
_atom_site_fract_y
_atom_site_fract_z
Ce1 Ce 0.0000 0.1020 0.0000
Er1 Er 0.0000 0.8443 0.5382
Er2 Er 0.2302 0.1213 0.4697
Tm1 Tm 0.0000 0.4003 0.5057
Tm2 Tm 0.0000 0.6538 0.0367
Tm3 Tm 0.2302 0.3781 0.9724

***

# CeEr5Tm2 PBE-GGA optimized geometry
# - formation enthalpy at 0 K (meV per atom) = 27
# - energy (eV per atom) = -4.68
# - crystal system = orthorhombic
data_CeEr5Tm2
_space_group_name_H-M_alt 'F m m 2'
_space_group_IT_number 42
_space_group_name_Hall 'F 2 -2'
_cell_length_a 7.1271
_cell_length_b 11.1898
_cell_length_c 12.3435
_cell_angle_alpha 90.00
_cell_angle_beta 90.00
_cell_angle_gamma 90.00
loop_
_atom_site_label
_atom_site_type_symbol
_atom_site_fract_x
_atom_site_fract_y
_atom_site_fract_z
Ce1 Ce 0.0000 0.0000 0.0000
Er1 Er 0.0000 0.0000 0.5021
Er2 Er 0.2485 0.0000 0.7510
Er3 Er 0.2500 0.2500 0.0833
Tm1 Tm 0.0000 0.2499 0.3359

***

Q: Which of these has the highest formation enthalpy at 0 K?
A: CeEr4Tm10

***

Q: Which value of formation enthalpy at 0 K does entry 12 give?
A: 27 meV per atom